Crystalline RbP3N at its relaxed geometry. Source: Alexandria, functional PBE-GGA.

abc: 4.451 4.451 4.451
angles: 90.00 90.00 90.00
Space group Pm-3m (No. 221)
Symmetry-distinct sites (fractional):
1 Rb 0.000 0.000 0.000
2 P 0.000 0.500 0.500
3 N 0.500 0.500 0.500

Computed properties:
E_form (uncorrected), kJ/mol of atoms: 108
E_tot, eV/atom: -3.984
Mass density, g/cm3: 3.62
Relative energy among the computed polymorphs, meV/atom: 0
M_tot, μB per cell: 0.00

***

Crystalline Rb3PN at its relaxed geometry. Source: Alexandria, functional PBE-GGA.

abc: 5.654 5.654 5.654
angles: 90.00 90.00 90.00
Space group Pm-3m (No. 221)
Symmetry-distinct sites (fractional):
1 Rb 0.000 0.000 0.500
2 P 0.500 0.500 0.500
3 N 0.000 0.000 0.000

Computed properties:
E_form (uncorrected), kJ/mol of atoms: 55
E_tot, eV/atom: -2.754
Mass density, g/cm3: 2.77
Relative energy among the computed polymorphs, meV/atom: 0
M_tot, μB per cell: 3.00

***

Crystalline RbPSN2 at its relaxed geometry. Source: Alexandria, functional PBE-GGA.

abc: 5.278 5.278 6.747
angles: 90.00 90.00 90.00
Space group P4/mmm (No. 123)
Symmetry-distinct sites (fractional):
1 Rb 0.000 0.000 0.000
2 P 0.500 0.500 0.500
3 S 0.000 0.000 0.500
4 N 0.000 0.500 0.000

Computed properties:
E_form (uncorrected), kJ/mol of atoms: 261
E_tot, eV/atom: -2.723
Mass density, g/cm3: 1.56
Relative energy among the computed polymorphs, meV/atom: 1655
M_tot, μB per cell: 6.96

***

Crystalline RbP2SN at its relaxed geometry. Source: Alexandria, functional PBE-GGA.

abc: 4.220 4.220 5.355
angles: 90.00 90.00 90.00
Space group P4/mmm (No. 123)
Symmetry-distinct sites (fractional):
1 Rb 0.000 0.000 0.000
2 P 0.000 0.500 0.500
3 S 0.500 0.500 0.000
4 N 0.500 0.500 0.500

Computed properties:
E_form (uncorrected), kJ/mol of atoms: 95
E_tot, eV/atom: -3.859
Mass density, g/cm3: 3.37
Relative energy among the computed polymorphs, meV/atom: 0
M_tot, μB per cell: 0.00

***

Crystalline RbPS2N at its relaxed geometry. Source: Alexandria, functional PBE-GGA.

abc: 6.737 6.737 7.677
angles: 90.00 90.00 90.00
Space group P4/mmm (No. 123)
Symmetry-distinct sites (fractional):
1 Rb 0.000 0.000 0.000
2 P 0.000 0.000 0.500
3 S 0.000 0.500 0.000
4 N 0.500 0.500 0.500

Computed properties:
E_form (uncorrected), kJ/mol of atoms: 215
E_tot, eV/atom: -2.363
Mass density, g/cm3: 0.93
Relative energy among the computed polymorphs, meV/atom: 1895
M_tot, μB per cell: 9.00

***

Crystalline RbPSN2 at its relaxed geometry. Source: Alexandria, functional PBE-GGA.

abc: 3.938 3.938 4.752
angles: 90.00 90.00 90.00
Space group P4/mmm (No. 123)
Symmetry-distinct sites (fractional):
1 Rb 0.000 0.000 0.000
2 P 0.500 0.500 0.500
3 S 0.500 0.500 0.000
4 N 0.000 0.500 0.500

Computed properties:
E_form (uncorrected), kJ/mol of atoms: 102
E_tot, eV/atom: -4.378
Mass density, g/cm3: 3.98
Relative energy among the computed polymorphs, meV/atom: 0
M_tot, μB per cell: 1.88

***

Crystalline RbP2SN at its relaxed geometry. Source: Alexandria, functional PBE-GGA.

abc: 7.444 7.444 6.388
angles: 90.00 90.00 90.00
Space group P4/mmm (No. 123)
Symmetry-distinct sites (fractional):
1 Rb 0.000 0.000 0.000
2 P 0.000 0.500 0.000
3 S 0.000 0.000 0.500
4 N 0.500 0.500 0.500

Computed properties:
E_form (uncorrected), kJ/mol of atoms: 237
E_tot, eV/atom: -2.395
Mass density, g/cm3: 0.91
Relative energy among the computed polymorphs, meV/atom: 1464
M_tot, μB per cell: 10.00

***

Crystalline RbPS2N at its relaxed geometry. Source: Alexandria, functional PBE-GGA.

abc: 5.439 5.439 3.220
angles: 90.00 90.00 90.00
Space group P4/mmm (No. 123)
Symmetry-distinct sites (fractional):
1 Rb 0.000 0.000 0.000
2 P 0.500 0.500 0.500
3 S 0.000 0.500 0.500
4 N 0.500 0.500 0.000

Computed properties:
E_form (uncorrected), kJ/mol of atoms: 32
E_tot, eV/atom: -4.258
Mass density, g/cm3: 3.39
Relative energy among the computed polymorphs, meV/atom: 0
M_tot, μB per cell: 0.00

***

Crystalline RbPS2N at its relaxed geometry. Source: Alexandria, functional PBE-GGA.

abc: 5.371 5.371 3.521
angles: 90.00 90.00 90.00
Space group P4/mmm (No. 123)
Symmetry-distinct sites (fractional):
1 Rb 0.000 0.000 0.000
2 P 0.500 0.500 0.000
3 S 0.000 0.500 0.500
4 N 0.500 0.500 0.500

Computed properties:
E_form (uncorrected), kJ/mol of atoms: 77
E_tot, eV/atom: -3.796
Mass density, g/cm3: 3.18
Relative energy among the computed polymorphs, meV/atom: 462
M_tot, μB per cell: 0.00

***

Crystalline RbPSe2N at its relaxed geometry. Source: Alexandria, functional PBE-GGA.

abc: 5.853 5.853 3.198
angles: 90.00 90.00 90.00
Space group P4/mmm (No. 123)
Symmetry-distinct sites (fractional):
1 Rb 0.000 0.000 0.000
2 P 0.500 0.500 0.500
3 Se 0.000 0.500 0.500
4 N 0.500 0.500 0.000

Computed properties:
E_form (uncorrected), kJ/mol of atoms: 18
E_tot, eV/atom: -4.143
Mass density, g/cm3: 4.37
Relative energy among the computed polymorphs, meV/atom: 0
M_tot, μB per cell: 0.00

***

Crystalline RbPSe2N at its relaxed geometry. Source: Alexandria, functional PBE-GGA.

abc: 5.970 5.970 5.019
angles: 90.00 90.00 90.00
Space group P4/mmm (No. 123)
Symmetry-distinct sites (fractional):
1 Rb 0.000 0.000 0.000
2 P 0.500 0.500 0.500
3 Se 0.000 0.500 0.000
4 N 0.000 0.000 0.500

Computed properties:
E_form (uncorrected), kJ/mol of atoms: 208
E_tot, eV/atom: -2.183
Mass density, g/cm3: 2.68
Relative energy among the computed polymorphs, meV/atom: 1960
M_tot, μB per cell: 2.85

***

Crystalline Rb2TaP2N6 at its relaxed geometry. Source: Alexandria, functional PBE-GGA.

abc: 5.6503 5.6503 19.2623
angles: 90.00 90.00 120.00
Space group R-3m (No. 166, hexagonal axes)
Symmetry-distinct sites (fractional):
1 Rb 0.0000 0.0000 0.2059
2 Ta 0.0000 0.0000 0.0000
3 P 0.0000 0.0000 0.3941
4 N 0.0125 0.5063 0.2698

Computed properties:
E_form (uncorrected), kJ/mol of atoms: -39
E_tot, eV/atom: -7.184
Mass density, g/cm3: 4.66
M_tot, μB per cell: 0.01

***

Crystalline RbTbPN3 at its relaxed geometry. Source: Alexandria, functional PBE-GGA.

abc: 12.429 3.801 8.201
angles: 90.00 106.27 90.00
Space group C2/m (No. 12)
Symmetry-distinct sites (fractional):
1 Rb 0.145 0.000 0.060
2 Tb 0.148 0.000 0.570
3 P 0.011 0.500 0.279
4 N 0.010 0.000 0.305
5 N 0.126 0.500 0.743
6 N 0.151 0.500 0.371

Computed properties:
E_form (uncorrected), kJ/mol of atoms: -36
E_tot, eV/atom: -6.369
Mass density, g/cm3: 5.67
M_tot, μB per cell: 0.01

***

Crystalline RbTePN2 at its relaxed geometry. Source: Alexandria, functional PBE-GGA.

abc: 5.005 5.005 7.620
angles: 90.00 90.00 90.00
Space group P4/mmm (No. 123)
Symmetry-distinct sites (fractional):
1 Rb 0.000 0.000 0.000
2 Te 0.000 0.000 0.500
3 P 0.500 0.500 0.500
4 N 0.000 0.500 0.000

Computed properties:
E_form (uncorrected), kJ/mol of atoms: 239
E_tot, eV/atom: -2.762
Mass density, g/cm3: 2.37
Relative energy among the computed polymorphs, meV/atom: 1091
M_tot, μB per cell: 6.73

***

Crystalline RbTePN2 at its relaxed geometry. Source: Alexandria, functional PBE-GGA.

abc: 4.426 4.426 5.305
angles: 90.00 90.00 90.00
Space group P4/mmm (No. 123)
Symmetry-distinct sites (fractional):
1 Rb 0.000 0.000 0.000
2 Te 0.500 0.500 0.000
3 P 0.500 0.500 0.500
4 N 0.000 0.500 0.500

Computed properties:
E_form (uncorrected), kJ/mol of atoms: 133
E_tot, eV/atom: -3.853
Mass density, g/cm3: 4.35
Relative energy among the computed polymorphs, meV/atom: 0
M_tot, μB per cell: 3.27

***

Crystalline RbTh3P4N12 at its relaxed geometry. Source: Alexandria, functional PBE-GGA.

abc: 11.2853 11.2853 9.5786
angles: 90.00 90.00 120.00
Space group R32 (No. 155, hexagonal axes)
Symmetry-distinct sites (fractional):
1 Rb 0.0000 0.0000 0.0000
2 Th 0.0000 0.5458 0.0000
3 P 0.0000 0.0000 0.5000
4 P 0.0000 0.4585 0.5000
5 N 0.0000 0.5981 0.5000
6 N 0.0000 0.8590 0.5000
7 N 0.0119 0.2111 0.2004

Computed properties:
E_form (uncorrected), kJ/mol of atoms: -58
E_tot, eV/atom: -7.839
Mass density, g/cm3: 5.06
M_tot, μB per cell: 9.20

***

Crystalline RbThPN4 at its relaxed geometry. Source: Alexandria, functional PBE-GGA.

abc: 12.548 6.081 7.005
angles: 90.00 109.25 90.00
Space group C2/m (No. 12)
Symmetry-distinct sites (fractional):
1 Rb 0.030 0.000 0.274
2 Th 0.189 0.500 0.825
3 P 0.140 0.500 0.227
4 N 0.016 0.500 0.267
5 N 0.133 0.500 0.461
6 N 0.178 0.284 0.130

Computed properties:
E_form (uncorrected), kJ/mol of atoms: -56
E_tot, eV/atom: -7.305
Mass density, g/cm3: 5.33
M_tot, μB per cell: 0.00

***

Crystalline RbTm2P2N6 at its relaxed geometry. Source: Alexandria, functional PBE-GGA.

abc: 11.311 6.185 6.291
angles: 90.00 120.79 90.00
Space group C2/m (No. 12)
Symmetry-distinct sites (fractional):
1 Rb 0.000 0.000 0.000
2 Tm 0.176 0.500 0.303
3 P 0.153 0.500 0.743
4 N 0.064 0.500 0.869
5 N 0.198 0.289 0.662

Computed properties:
E_form (uncorrected), kJ/mol of atoms: -73
E_tot, eV/atom: -7.180
Mass density, g/cm3: 5.00
M_tot, μB per cell: 0.56

***

Crystalline RbUPN4 at its relaxed geometry. Source: Alexandria, functional PBE-GGA.

abc: 5.471 5.613 7.940
angles: 90.00 107.80 90.00
Space group P2_1/m (No. 11)
Symmetry-distinct sites (fractional):
1 Rb 0.204 0.250 0.435
2 U 0.263 0.250 0.956
3 P 0.267 0.750 0.151
4 N 0.055 0.750 0.947
5 N 0.077 0.750 0.275
6 N 0.462 0.522 0.163

Computed properties:
E_form (uncorrected), kJ/mol of atoms: -70
E_tot, eV/atom: -8.010
Mass density, g/cm3: 5.87
M_tot, μB per cell: 0.00

***

Crystalline RbYP2N at its relaxed geometry. Source: Alexandria, functional PBE-GGA.

abc: 5.331 5.331 5.831
angles: 90.00 90.00 90.00
Space group P4/mmm (No. 123)
Symmetry-distinct sites (fractional):
1 Rb 0.000 0.000 0.000
2 Y 0.000 0.000 0.500
3 P 0.000 0.500 0.000
4 N 0.500 0.500 0.500

Computed properties:
E_form (uncorrected), kJ/mol of atoms: 247
E_tot, eV/atom: -2.756
Mass density, g/cm3: 2.51
M_tot, μB per cell: 2.61

***

Crystalline RbZr2PN at its relaxed geometry. Source: Alexandria, functional PBE-GGA.

abc: 4.449 4.449 5.339
angles: 90.00 90.00 90.00
Space group P4/mmm (No. 123)
Symmetry-distinct sites (fractional):
1 Rb 0.000 0.000 0.000
2 Zr 0.000 0.500 0.500
3 P 0.500 0.500 0.000
4 N 0.000 0.000 0.500

Computed properties:
E_form (uncorrected), kJ/mol of atoms: -5
E_tot, eV/atom: -6.416
Mass density, g/cm3: 4.92
M_tot, μB per cell: 0.00

***

Crystalline ReP2N at its relaxed geometry. Source: Alexandria, functional PBE-GGA.

abc: 5.032 5.032 8.776
angles: 90.00 90.00 90.00
Space group I-42d (No. 122)
Symmetry-distinct sites (fractional):
1 Re 0.000 0.000 0.000
2 P 0.194 0.250 0.625
3 N 0.000 0.000 0.500

Computed properties:
E_form (uncorrected), kJ/mol of atoms: 41
E_tot, eV/atom: -7.478
Mass density, g/cm3: 7.84
M_tot, μB per cell: 0.00

***

Crystalline RePN3 at its relaxed geometry. Source: Alexandria, functional PBE-GGA.

abc: 3.891 3.891 3.891
angles: 90.00 90.00 90.00
Space group Pm-3m (No. 221)
Symmetry-distinct sites (fractional):
1 Re 0.000 0.000 0.000
2 P 0.500 0.500 0.500
3 N 0.000 0.000 0.500

Computed properties:
E_form (uncorrected), kJ/mol of atoms: 121
E_tot, eV/atom: -7.318
Mass density, g/cm3: 7.31
M_tot, μB per cell: 0.00

***

Crystalline RePN3 at its relaxed geometry. Source: Alexandria, functional PBE-GGA.

abc: 3.491 3.491 3.491
angles: 90.00 90.00 90.00
Space group Pm-3m (No. 221)
Symmetry-distinct sites (fractional):
1 Re 0.000 0.000 0.000
2 P 0.500 0.500 0.500
3 N 0.000 0.500 0.500

Computed properties:
E_form (uncorrected), kJ/mol of atoms: 118
E_tot, eV/atom: -7.342
Mass density, g/cm3: 10.12
M_tot, μB per cell: 0.01

***

Crystalline ReP3N at its relaxed geometry. Source: Alexandria, functional PBE-GGA.

abc: 4.557 4.557 4.557
angles: 90.00 90.00 90.00
Space group Pm-3m (No. 221)
Symmetry-distinct sites (fractional):
1 Re 0.000 0.000 0.000
2 P 0.000 0.000 0.500
3 N 0.500 0.500 0.500

Computed properties:
E_form (uncorrected), kJ/mol of atoms: 155
E_tot, eV/atom: -5.792
Mass density, g/cm3: 5.14
Relative energy among the computed polymorphs, meV/atom: 693
M_tot, μB per cell: 0.00

***

Crystalline ReP3N at its relaxed geometry. Source: Alexandria, functional PBE-GGA.

abc: 3.926 3.926 3.926
angles: 90.00 90.00 90.00
Space group Pm-3m (No. 221)
Symmetry-distinct sites (fractional):
1 Re 0.000 0.000 0.000
2 P 0.000 0.500 0.500
3 N 0.500 0.500 0.500

Computed properties:
E_form (uncorrected), kJ/mol of atoms: 88
E_tot, eV/atom: -6.486
Mass density, g/cm3: 8.05
Relative energy among the computed polymorphs, meV/atom: 0
M_tot, μB per cell: 0.00